NpTl2Cu2Se4 | GGA-PBE | relaxed

abc: 4.087 8.031 7.675
angles: 108.21 105.44 90.00
Element x y z (fractional)
Np 0.000 0.000 0.000
Tl 0.138 0.575 0.275
Tl 0.862 0.425 0.725
Cu 0.683 0.990 0.366
Cu 0.317 0.010 0.634
Se 0.199 0.178 0.399
Se 0.801 0.822 0.601
Se 0.522 0.769 0.044
Se 0.478 0.231 0.956

Calculated values
The raw formation energy is -523 kJ/mol of formula units. As for the density of states at the Fermi level: 1.020 states/eV/atom. Its space-group type is C2/m, No. 12. The total energy is -5.0254 eV/atom. Its magnetization is 3.0 μB per formula unit.